(1)
# PBE Ti2V2Ru3, relaxed
# * formation energy from the elements: -0.324 eV/atom
# * electronic total energy: -64.1 eV per cell
# * symmetry: No. 65
data_Ti2V2Ru3
_cell_length_a 11.3196
_cell_length_b 11.3196
_cell_length_c 3.0274
_cell_angle_alpha 90.00
_cell_angle_beta 90.00
_cell_angle_gamma 164.68
_symmetry_space_group_name_H-M 'P 1'
_symmetry_Int_Tables_number 1
loop_
_symmetry_equiv_pos_as_xyz
'x,y,z'
loop_
_atom_site_label
_atom_site_type_symbol
_atom_site_fract_x
_atom_site_fract_y
_atom_site_fract_z
Ti1 Ti 0.0693 0.9307 0.0000
Ti2 Ti 0.9307 0.0693 0.0000
V1 V 0.2059 0.7941 0.0000
V2 V 0.7941 0.2059 0.0000
Ru1 Ru 0.3604 0.6396 0.5000
Ru2 Ru 0.5000 0.5000 0.5000
Ru3 Ru 0.6396 0.3604 0.5000

=====

(2)
# PBE Ho4Ru3Au, relaxed
# * formation energy from the elements: -0.513 eV/atom
# * electronic total energy: -53.5 eV per cell
# * symmetry: No. 123
data_Ho4Ru3Au
_cell_length_a 4.8410
_cell_length_b 4.8410
_cell_length_c 6.8968
_cell_angle_alpha 90.00
_cell_angle_beta 90.00
_cell_angle_gamma 90.00
_symmetry_space_group_name_H-M 'P 1'
_symmetry_Int_Tables_number 1
loop_
_symmetry_equiv_pos_as_xyz
'x,y,z'
loop_
_atom_site_label
_atom_site_type_symbol
_atom_site_fract_x
_atom_site_fract_y
_atom_site_fract_z
Ho1 Ho 0.0000 0.5000 0.2410
Ho2 Ho 0.0000 0.5000 0.7590
Ho3 Ho 0.5000 0.0000 0.2410
Ho4 Ho 0.5000 0.0000 0.7590
Ru1 Ru 0.0000 0.0000 0.0000
Ru2 Ru 0.0000 0.0000 0.5000
Ru3 Ru 0.5000 0.5000 0.0000
Au1 Au 0.5000 0.5000 0.5000

=====

(3)
# PBE Ba2CaMg, relaxed
# * formation energy from the elements: -0.006 eV/atom
# * electronic total energy: -7.5 eV per cell
# * symmetry: No. 99
data_Ba2CaMg
_cell_length_a 4.3374
_cell_length_b 4.3374
_cell_length_c 10.0493
_cell_angle_alpha 90.00
_cell_angle_beta 90.00
_cell_angle_gamma 90.00
_symmetry_space_group_name_H-M 'P 1'
_symmetry_Int_Tables_number 1
loop_
_symmetry_equiv_pos_as_xyz
'x,y,z'
loop_
_atom_site_label
_atom_site_type_symbol
_atom_site_fract_x
_atom_site_fract_y
_atom_site_fract_z
Ba1 Ba 0.0000 0.0000 0.0000
Ba2 Ba 0.5000 0.5000 0.3411
Ca1 Ca 0.0000 0.0000 0.6169
Mg1 Mg 0.5000 0.5000 0.7749

=====

(4)
# PBE SrLaSN2, relaxed
# * electronic total energy: -29.0 eV per cell
# * formation energy without anion corrections: -1.6 eV/f.u.
# * symmetry: No. 123
# * energy above the most stable polymorph in this dataset: 0 meV/atom
data_SrLaSN2
_cell_length_a 4.3539
_cell_length_b 4.3539
_cell_length_c 5.9011
_cell_angle_alpha 90.00
_cell_angle_beta 90.00
_cell_angle_gamma 90.00
_symmetry_space_group_name_H-M 'P 1'
_symmetry_Int_Tables_number 1
loop_
_symmetry_equiv_pos_as_xyz
'x,y,z'
loop_
_atom_site_label
_atom_site_type_symbol
_atom_site_fract_x
_atom_site_fract_y
_atom_site_fract_z
Sr1 Sr 0.0000 0.0000 0.0000
La1 La 0.5000 0.5000 0.5000
S1 S 0.5000 0.5000 0.0000
N1 N 0.0000 0.5000 0.5000
N2 N 0.5000 0.0000 0.5000

=====

(5)
# PBE Li2Cr2Tc, relaxed
# * formation energy from the elements: 0.634 eV/atom
# * electronic total energy: -30.3 eV per cell
# * symmetry: No. 139
data_Li2Cr2Tc
_cell_length_a 6.7707
_cell_length_b 6.7707
_cell_length_c 6.7707
_cell_angle_alpha 151.27
_cell_angle_beta 151.27
_cell_angle_gamma 41.08
_symmetry_space_group_name_H-M 'P 1'
_symmetry_Int_Tables_number 1
loop_
_symmetry_equiv_pos_as_xyz
'x,y,z'
loop_
_atom_site_label
_atom_site_type_symbol
_atom_site_fract_x
_atom_site_fract_y
_atom_site_fract_z
Li1 Li 0.2500 0.7500 0.5000
Li2 Li 0.7500 0.2500 0.5000
Cr1 Cr 0.0774 0.0774 0.0000
Cr2 Cr 0.9226 0.9226 0.0000
Tc1 Tc 0.5000 0.5000 0.0000

=====

(6)
# PBE Tc2AsOs, relaxed
# * formation energy from the elements: 0.767 eV/atom
# * electronic total energy: -67.1 eV per cell
# * symmetry: No. 122
data_Tc2AsOs
_cell_length_a 6.7584
_cell_length_b 6.7584
_cell_length_c 6.7584
_cell_angle_alpha 131.15
_cell_angle_beta 131.15
_cell_angle_gamma 71.58
_symmetry_space_group_name_H-M 'P 1'
_symmetry_Int_Tables_number 1
loop_
_symmetry_equiv_pos_as_xyz
'x,y,z'
loop_
_atom_site_label
_atom_site_type_symbol
_atom_site_fract_x
_atom_site_fract_y
_atom_site_fract_z
Tc1 Tc 0.1199 0.6250 0.9949
Tc2 Tc 0.3750 0.3699 0.4949
Tc3 Tc 0.6301 0.1250 0.0051
Tc4 Tc 0.8750 0.8801 0.5051
As1 As 0.2500 0.7500 0.5000
As2 As 0.5000 0.5000 0.0000
Os1 Os 0.0000 0.0000 0.0000
Os2 Os 0.7500 0.2500 0.5000

=====

(7)
# PBE NaSc5S6, relaxed
# * electronic total energy: -79.6 eV per cell
# * formation energy without anion corrections: -21.9 eV/f.u.
# * symmetry: No. 12
data_NaSc5S6
_cell_length_a 6.4385
_cell_length_b 6.4385
_cell_length_c 6.4671
_cell_angle_alpha 99.62
_cell_angle_beta 99.62
_cell_angle_gamma 119.93
_symmetry_space_group_name_H-M 'P 1'
_symmetry_Int_Tables_number 1
loop_
_symmetry_equiv_pos_as_xyz
'x,y,z'
loop_
_atom_site_label
_atom_site_type_symbol
_atom_site_fract_x
_atom_site_fract_y
_atom_site_fract_z
Na1 Na 0.0000 0.0000 0.0000
Sc1 Sc 0.1610 0.8390 0.5000
Sc2 Sc 0.3349 0.6651 0.0000
Sc3 Sc 0.5000 0.5000 0.5000
Sc4 Sc 0.6651 0.3349 0.0000
Sc5 Sc 0.8390 0.1610 0.5000
S1 S 0.0848 0.4260 0.2562
S2 S 0.2557 0.2557 0.7497
S3 S 0.4260 0.0848 0.2562
S4 S 0.5740 0.9152 0.7438
S5 S 0.7443 0.7443 0.2503
S6 S 0.9152 0.5740 0.7438

=====

(8)
# PBE Dy3AuSe2, relaxed
# * electronic total energy: -130.7 eV per cell
# * formation energy without anion corrections: -8.6 eV/f.u.
# * symmetry: No. 70
# * energy above the most stable polymorph in this dataset: 0 meV/atom
data_Dy3AuSe2
_cell_length_a 13.5516
_cell_length_b 12.9240
_cell_length_c 7.1727
_cell_angle_alpha 79.17
_cell_angle_beta 69.51
_cell_angle_gamma 31.32
_symmetry_space_group_name_H-M 'P 1'
_symmetry_Int_Tables_number 1
loop_
_symmetry_equiv_pos_as_xyz
'x,y,z'
loop_
_atom_site_label
_atom_site_type_symbol
_atom_site_fract_x
_atom_site_fract_y
_atom_site_fract_z
Dy1 Dy 0.0412 0.5427 0.2087
Dy2 Dy 0.1245 0.6255 0.6255
Dy3 Dy 0.2087 0.7074 0.0412
Dy4 Dy 0.2926 0.7913 0.4573
Dy5 Dy 0.3745 0.8755 0.8755
Dy6 Dy 0.4573 0.9588 0.2926
Dy7 Dy 0.5427 0.0412 0.7074
Dy8 Dy 0.6255 0.1245 0.1245
Dy9 Dy 0.7074 0.2087 0.5427
Dy10 Dy 0.7913 0.2926 0.9588
Dy11 Dy 0.8755 0.3745 0.3745
Dy12 Dy 0.9588 0.4573 0.7913
Au1 Au 0.0410 0.0410 0.2090
Au2 Au 0.2090 0.2090 0.0410
Au3 Au 0.7910 0.7910 0.9590
Au4 Au 0.9590 0.9590 0.7910
Se1 Se 0.1256 0.1256 0.6244
Se2 Se 0.2934 0.2934 0.4566
Se3 Se 0.3756 0.3756 0.8744
Se4 Se 0.4566 0.4566 0.2934
Se5 Se 0.5434 0.5434 0.7066
Se6 Se 0.6244 0.6244 0.1256
Se7 Se 0.7066 0.7066 0.5434
Se8 Se 0.8744 0.8744 0.3756

=====

(9)
# PBE Ac2PrIr2, relaxed
# * formation energy from the elements: -0.565 eV/atom
# * electronic total energy: -33.5 eV per cell
# * symmetry: No. 12
# * energy above the most stable polymorph in this dataset: 0 meV/atom
data_Ac2PrIr2
_cell_length_a 7.3563
_cell_length_b 7.3563
_cell_length_c 5.9641
_cell_angle_alpha 113.84
_cell_angle_beta 113.84
_cell_angle_gamma 34.33
_symmetry_space_group_name_H-M 'P 1'
_symmetry_Int_Tables_number 1
loop_
_symmetry_equiv_pos_as_xyz
'x,y,z'
loop_
_atom_site_label
_atom_site_type_symbol
_atom_site_fract_x
_atom_site_fract_y
_atom_site_fract_z
Ac1 Ac 0.1825 0.1825 0.1827
Ac2 Ac 0.8175 0.8175 0.8173
Pr1 Pr 0.5000 0.5000 0.5000
Ir1 Ir 0.1521 0.1521 0.6525
Ir2 Ir 0.8479 0.8479 0.3475

=====

(10)
# PBE Ba5Sb4, relaxed
# * electronic total energy: -68.7 eV per cell
# * formation energy without anion corrections: -8.3 eV/f.u.
# * symmetry: No. 193
# * energy above the most stable polymorph in this dataset: 135 meV/atom
data_Ba5Sb4
_cell_length_a 10.4672
_cell_length_b 10.4672
_cell_length_c 7.7687
_cell_angle_alpha 90.00
_cell_angle_beta 90.00
_cell_angle_gamma 120.00
_symmetry_space_group_name_H-M 'P 1'
_symmetry_Int_Tables_number 1
loop_
_symmetry_equiv_pos_as_xyz
'x,y,z'
loop_
_atom_site_label
_atom_site_type_symbol
_atom_site_fract_x
_atom_site_fract_y
_atom_site_fract_z
Ba1 Ba 0.0000 0.2661 0.2500
Ba2 Ba 0.0000 0.7339 0.7500
Ba3 Ba 0.2661 0.0000 0.2500
Ba4 Ba 0.2661 0.2661 0.7500
Ba5 Ba 0.3333 0.6667 0.0000
Ba6 Ba 0.3333 0.6667 0.5000
Ba7 Ba 0.6667 0.3333 0.0000
Ba8 Ba 0.6667 0.3333 0.5000
Ba9 Ba 0.7339 0.0000 0.7500
Ba10 Ba 0.7339 0.7339 0.2500
Sb1 Sb 0.0000 0.0000 0.0000
Sb2 Sb 0.0000 0.0000 0.5000
Sb3 Sb 0.0000 0.3943 0.7500
Sb4 Sb 0.0000 0.6057 0.2500
Sb5 Sb 0.3943 0.0000 0.7500
Sb6 Sb 0.3943 0.3943 0.2500
Sb7 Sb 0.6057 0.0000 0.2500
Sb8 Sb 0.6057 0.6057 0.7500

=====

(11)
# PBE La2CrGeAu, relaxed
# * formation energy from the elements: 0.027 eV/atom
# * electronic total energy: -27.2 eV per cell
# * symmetry: No. 123
data_La2CrGeAu
_cell_length_a 5.7807
_cell_length_b 5.7807
_cell_length_c 4.5932
_cell_angle_alpha 90.00
_cell_angle_beta 90.00
_cell_angle_gamma 90.00
_symmetry_space_group_name_H-M 'P 1'
_symmetry_Int_Tables_number 1
loop_
_symmetry_equiv_pos_as_xyz
'x,y,z'
loop_
_atom_site_label
_atom_site_type_symbol
_atom_site_fract_x
_atom_site_fract_y
_atom_site_fract_z
La1 La 0.0000 0.5000 0.0000
La2 La 0.5000 0.0000 0.0000
Cr1 Cr 0.0000 0.0000 0.5000
Ge1 Ge 0.0000 0.0000 0.0000
Au1 Au 0.5000 0.5000 0.5000